No. 1
A plane-wave DFT calculation with PBE was carried out for Cs3Na2PbF8 after structural relaxation.

Results
Electronic total energy = -4.205 eV per atom
Formation energy from raw total energies = -2.499 eV per atom
Total moment = 0.9 μB/cell
Space group = P-3m1

Structure (POSCAR):
```
Cs3Na2PbF8
1.0
-3.339 -4.717 -3.085
6.284 -0.942 1.594
-2.417 -3.260 7.600
F Na Cs Pb
8 2 3 1
Direct
0.333 0.667 0.967
0.322 0.161 0.658
0.678 0.839 0.342
0.667 0.333 0.033
0.161 0.322 0.342
0.161 0.839 0.342
0.839 0.161 0.658
0.839 0.678 0.658
0.667 0.333 0.789
0.333 0.667 0.211
0.333 0.667 0.658
0.000 0.000 0.000
0.667 0.333 0.342
0.000 0.000 0.500
```


No. 2
A plane-wave DFT calculation with PBE was carried out for CsNaPbF6 after structural relaxation.

Results
Electronic total energy = -4.327 eV per atom
Formation energy from raw total energies = -2.426 eV per atom
Total moment = 0.1 μB/cell
Space group = C2

Structure (POSCAR):
```
CsNaPbF6
1.0
6.063 0.007 0.003
3.037 5.247 -0.003
0.004 -0.007 6.243
F Cs Na Pb
6 1 1 1
Direct
0.367 0.030 0.690
0.028 0.605 0.690
0.030 0.367 0.310
0.368 0.602 0.309
0.602 0.368 0.691
0.604 0.029 0.310
0.000 0.000 0.000
0.666 0.666 0.500
0.333 0.333 0.500
```


No. 3
A plane-wave DFT calculation with PBE was carried out for Cs2Na2PbF7 after structural relaxation.

Results
Electronic total energy = -4.149 eV per atom
Formation energy from raw total energies = -2.386 eV per atom
Total moment = 0.4 μB/cell
Space group = C2/m

Structure (POSCAR):
```
Cs2Na2PbF7
1.0
4.441 -0.391 0.083
-0.385 4.441 0.083
2.178 2.176 12.000
F Cs Na Pb
7 2 2 1
Direct
0.327 0.327 0.374
0.387 0.994 0.855
0.500 0.500 0.000
0.613 0.006 0.145
0.673 0.673 0.626
0.006 0.613 0.145
0.994 0.387 0.855
0.170 0.170 0.628
0.830 0.830 0.372
0.454 0.454 0.184
0.546 0.546 0.816
0.000 0.000 0.000
```


No. 4
A plane-wave DFT calculation with PBE was carried out for Cs3Na2PbF9 after structural relaxation.

Results
Electronic total energy = -4.250 eV per atom
Formation energy from raw total energies = -2.533 eV per atom
Total moment = 0.1 μB/cell
Space group = P-3m1

Structure (POSCAR):
```
Cs3Na2PbF9
1.0
6.501 0.000 0.000
-3.250 5.630 0.000
0.000 0.000 8.150
F Na Pb Cs
9 2 1 3
Direct
0.000 0.500 0.000
0.500 0.500 0.000
0.500 0.000 0.000
0.153 0.847 0.350
0.307 0.153 0.650
0.153 0.307 0.350
0.847 0.153 0.650
0.847 0.693 0.650
0.693 0.847 0.350
0.333 0.667 0.149
0.667 0.333 0.851
0.000 0.000 0.500
0.000 0.000 0.000
0.667 0.333 0.280
0.333 0.667 0.720
```


No. 5
A plane-wave DFT calculation with PBE was carried out for Cs2NaPdF6 after structural relaxation.

Results
Electronic total energy = -4.158 eV per atom
Formation energy from raw total energies = -2.214 eV per atom
Total moment = 1.0 μB/cell
Space group = P-3m1

Structure (POSCAR):
```
Cs2NaPdF6
1.0
-1.982 -3.649 -4.009
-1.828 -4.075 4.612
-4.063 4.509 -2.095
F Pd Na Cs
6 1 1 2
Direct
0.217 0.296 0.148
0.783 0.148 0.296
0.783 0.704 0.852
0.217 0.852 0.704
0.217 0.852 0.148
0.783 0.148 0.852
0.000 0.000 0.000
0.500 0.000 0.000
0.790 0.667 0.333
0.210 0.333 0.667
```


No. 6
A plane-wave DFT calculation with PBE was carried out for CsNa2PtF8 after structural relaxation.

Results
Electronic total energy = -4.069 eV per atom
Formation energy from raw total energies = -2.027 eV per atom
Total moment = 0.7 μB/cell
Space group = P-1

Structure (POSCAR):
```
CsNa2PtF8
1.0
-4.688 -0.770 -2.100
-1.204 -2.874 3.983
-3.069 6.167 4.052
F Cs Na Pt
8 1 2 1
Direct
0.489 0.294 0.503
0.182 0.803 0.829
0.139 0.765 0.178
0.297 0.246 0.010
0.511 0.706 0.497
0.703 0.754 0.990
0.861 0.235 0.822
0.818 0.197 0.171
0.000 0.000 0.500
0.496 0.491 0.774
0.504 0.509 0.226
0.000 0.000 0.000
```


No. 7
A plane-wave DFT calculation with PBE was carried out for CsNa2PuF8 after structural relaxation.

Results
Electronic total energy = -5.712 eV per atom
Formation energy from raw total energies = -2.979 eV per atom
Total moment = 3.0 μB/cell
Space group = P-1

Structure (POSCAR):
```
CsNa2PuF8
1.0
5.905 1.391 3.634
1.410 5.654 3.059
3.324 3.201 9.546
Na F Pu Cs
2 8 1 1
Direct
0.550 0.553 0.699
0.450 0.447 0.301
0.575 0.944 0.360
0.425 0.056 0.640
0.943 0.353 0.717
0.635 0.857 0.132
0.057 0.647 0.283
0.862 0.427 0.962
0.365 0.143 0.868
0.138 0.573 0.038
0.000 0.000 0.000
0.000 0.000 0.500
```


No. 8
A plane-wave DFT calculation with PBE was carried out for CsNaPuF6 after structural relaxation.

Results
Electronic total energy = -6.314 eV per atom
Formation energy from raw total energies = -3.232 eV per atom
Total moment = 8.0 μB/cell
Space group = P-31c

Structure (POSCAR):
```
CsNaPuF6
1.0
6.143 0.000 0.000
-3.072 5.320 0.000
0.000 0.000 12.525
F Pu Cs Na
12 2 2 2
Direct
0.025 0.635 0.845
0.365 0.975 0.655
0.635 0.610 0.155
0.975 0.610 0.345
0.635 0.025 0.345
0.025 0.390 0.655
0.365 0.390 0.845
0.610 0.635 0.655
0.390 0.025 0.155
0.390 0.365 0.345
0.610 0.975 0.845
0.975 0.365 0.155
0.667 0.333 0.250
0.333 0.667 0.750
0.000 0.000 0.500
0.000 0.000 0.000
0.667 0.333 0.750
0.333 0.667 0.250
```